The following is a GGA-PBE calculation of a geometry-optimized NdHoGaPt structure, from Alexandria via LeMat-Bulk.

a = 5.0851 Å, b = 5.0851 Å, c = 5.0851 Å
α = 60.00°, β = 60.00°, γ = 60.00°
With the nearest neighbours (Å) after each atom.
Fractional coordinates of all 4 atoms:
Nd  0.0000  0.0000  0.0000  4 Pt 3.11, 4 Ga 3.11
Ho  0.5000  0.5000  0.5000  4 Pt 3.11, 4 Ga 3.11
Ga  0.7500  0.7500  0.7500  4 Ho 3.11, 4 Nd 3.11
Pt  0.2500  0.2500  0.2500  4 Ho 3.11, 4 Nd 3.11

Computed properties:
Its space group is F-43m (216). The calculation puts the relative energy among the computed polymorphs at 95 meV per atom. The calculation puts the size of the total moment at 0.000 μB per formula unit. As for the total energy: -21.6 eV per cell. The crystal system is cubic. As for the formation enthalpy at 0 K: -76.7 kJ/mol of atoms.